Entry 1:
# MnRuI2O SCAN PBEsol geometry
data_MnRuI2O
_chemical_formula_sum 'Mn1 Ru1 I2 O1'
_space_group_name_H-M_alt 'P 4/m m m'
_space_group_IT_number 123
_space_group_name_Hall '-P 4 2'
_cell_length_a 5.4916
_cell_length_b 5.4916
_cell_length_c 3.6633
_cell_angle_alpha 90.00
_cell_angle_beta 90.00
_cell_angle_gamma 90.00
loop_
_atom_site_label
_atom_site_fract_x
_atom_site_fract_y
_atom_site_fract_z
Mn1 0.0000 0.0000 0.0000
Ru1 0.5000 0.5000 0.5000
I1 0.0000 0.5000 0.5000
O1 0.5000 0.5000 0.0000
# Energy relative to the elements, uncorrected = -0.11 eV/atom

---

Entry 2:
# Mn2Sb3I3O5 SCAN PBEsol geometry
data_Mn2Sb3I3O5
_chemical_formula_sum 'Mn4 Sb6 I6 O10'
_space_group_name_H-M_alt 'P -1'
_space_group_IT_number 2
_cell_length_a 6.2804
_cell_length_b 9.6649
_cell_length_c 10.1237
_cell_angle_alpha 82.16
_cell_angle_beta 72.58
_cell_angle_gamma 88.88
loop_
_space_group_symop_operation_xyz
'x,y,z'
'-x,-y,-z'
loop_
_atom_site_label
_atom_site_fract_x
_atom_site_fract_y
_atom_site_fract_z
Mn1 0.0148 0.1983 0.2406
Mn2 0.2382 0.0803 0.4985
Sb1 0.3374 0.7639 0.4179
Sb2 0.4482 0.9452 0.8399
Sb3 0.4995 0.3567 0.2688
I1 0.0514 0.9085 0.1918
I2 0.0616 0.5235 0.6829
I3 0.3633 0.2968 0.9595
O1 0.1077 0.8763 0.5397
O2 0.2655 0.7833 0.8114
O3 0.3102 0.1770 0.2784
O4 0.4432 0.2626 0.4686
O5 0.4899 0.0474 0.6407
# Energy relative to the elements, uncorrected = -1.28 eV/atom

---

Entry 3:
# MnSiIO2 SCAN PBEsol geometry
data_MnSiIO2
_chemical_formula_sum 'Mn1 Si1 I1 O2'
_space_group_name_H-M_alt 'P 4/m m m'
_space_group_IT_number 123
_space_group_name_Hall '-P 4 2'
_cell_length_a 3.8455
_cell_length_b 3.8455
_cell_length_c 5.2904
_cell_angle_alpha 90.00
_cell_angle_beta 90.00
_cell_angle_gamma 90.00
loop_
_atom_site_label
_atom_site_fract_x
_atom_site_fract_y
_atom_site_fract_z
Mn1 0.0000 0.0000 0.0000
Si1 0.5000 0.5000 0.5000
I1 0.0000 0.0000 0.5000
O1 0.0000 0.5000 0.0000
# Energy relative to the elements, uncorrected = -0.31 eV/atom

---

Entry 4:
# MnTlIO2 SCAN PBEsol geometry
data_MnTlIO2
_chemical_formula_sum 'Mn1 Tl1 I1 O2'
_space_group_name_H-M_alt 'P 4/m m m'
_space_group_IT_number 123
_space_group_name_Hall '-P 4 2'
_cell_length_a 4.0405
_cell_length_b 4.0405
_cell_length_c 5.3191
_cell_angle_alpha 90.00
_cell_angle_beta 90.00
_cell_angle_gamma 90.00
loop_
_atom_site_label
_atom_site_fract_x
_atom_site_fract_y
_atom_site_fract_z
Mn1 0.0000 0.0000 0.0000
Tl1 0.5000 0.5000 0.5000
I1 0.0000 0.0000 0.5000
O1 0.0000 0.5000 0.0000
# Energy relative to the elements, uncorrected = -0.56 eV/atom

---

Entry 5:
# MnWIO2 SCAN PBEsol geometry
data_MnWIO2
_chemical_formula_sum 'Mn1 W1 I1 O2'
_space_group_name_H-M_alt 'P 4/m m m'
_space_group_IT_number 123
_space_group_name_Hall '-P 4 2'
_cell_length_a 3.8486
_cell_length_b 3.8486
_cell_length_c 5.9653
_cell_angle_alpha 90.00
_cell_angle_beta 90.00
_cell_angle_gamma 90.00
loop_
_atom_site_label
_atom_site_fract_x
_atom_site_fract_y
_atom_site_fract_z
Mn1 0.0000 0.0000 0.0000
W1 0.5000 0.5000 0.5000
I1 0.5000 0.5000 0.0000
O1 0.0000 0.5000 0.5000
# Energy relative to the elements, uncorrected = -0.69 eV/atom

---

Entry 6:
# Mn3PI SCAN PBEsol geometry
data_Mn3PI
_chemical_formula_sum 'Mn3 P1 I1'
_space_group_name_H-M_alt 'P m -3 m'
_space_group_IT_number 221
_space_group_name_Hall '-P 4 2 3'
_cell_length_a 4.8370
_cell_length_b 4.8370
_cell_length_c 4.8370
_cell_angle_alpha 90.00
_cell_angle_beta 90.00
_cell_angle_gamma 90.00
loop_
_atom_site_label
_atom_site_fract_x
_atom_site_fract_y
_atom_site_fract_z
Mn1 0.0000 0.0000 0.5000
P1 0.5000 0.5000 0.5000
I1 0.0000 0.0000 0.0000
# Energy relative to the elements, uncorrected = 1.24 eV/atom

---

Entry 7:
# MnTe2PI SCAN PBEsol geometry
data_MnTe2PI
_chemical_formula_sum 'Mn1 Te2 P1 I1'
_space_group_name_H-M_alt 'P 4/m m m'
_space_group_IT_number 123
_space_group_name_Hall '-P 4 2'
_cell_length_a 5.4267
_cell_length_b 5.4267
_cell_length_c 4.5657
_cell_angle_alpha 90.00
_cell_angle_beta 90.00
_cell_angle_gamma 90.00
loop_
_atom_site_label
_atom_site_fract_x
_atom_site_fract_y
_atom_site_fract_z
Mn1 0.0000 0.0000 0.0000
Te1 0.0000 0.5000 0.5000
P1 0.0000 0.0000 0.5000
I1 0.5000 0.5000 0.0000
# Energy relative to the elements, uncorrected = 0.34 eV/atom
# Polymorph energy (0 for the lowest one) = 0.000 eV per atom

---

Entry 8:
# MnTe2PI SCAN PBEsol geometry
data_MnTe2PI
_chemical_formula_sum 'Mn1 Te2 P1 I1'
_space_group_name_H-M_alt 'P 4/m m m'
_space_group_IT_number 123
_space_group_name_Hall '-P 4 2'
_cell_length_a 5.1638
_cell_length_b 5.1638
_cell_length_c 5.3728
_cell_angle_alpha 90.00
_cell_angle_beta 90.00
_cell_angle_gamma 90.00
loop_
_atom_site_label
_atom_site_fract_x
_atom_site_fract_y
_atom_site_fract_z
Mn1 0.0000 0.0000 0.0000
Te1 0.0000 0.5000 0.5000
P1 0.5000 0.5000 0.5000
I1 0.5000 0.5000 0.0000
# Energy relative to the elements, uncorrected = 0.48 eV/atom
# Polymorph energy (0 for the lowest one) = 0.142 eV per atom

---

Entry 9:
# MnTePbI2 SCAN PBEsol geometry
data_MnTePbI2
_chemical_formula_sum 'Mn1 Te1 Pb1 I2'
_space_group_name_H-M_alt 'P 4/m m m'
_space_group_IT_number 123
_space_group_name_Hall '-P 4 2'
_cell_length_a 6.0071
_cell_length_b 6.0071
_cell_length_c 5.8495
_cell_angle_alpha 90.00
_cell_angle_beta 90.00
_cell_angle_gamma 90.00
loop_
_atom_site_label
_atom_site_fract_x
_atom_site_fract_y
_atom_site_fract_z
Mn1 0.0000 0.0000 0.0000
Te1 0.5000 0.5000 0.0000
Pb1 0.5000 0.5000 0.5000
I1 0.0000 0.5000 0.5000
# Energy relative to the elements, uncorrected = 0.25 eV/atom

---

Entry 10:
# MnTePdI2 SCAN PBEsol geometry
data_MnTePdI2
_chemical_formula_sum 'Mn1 Te1 Pd1 I2'
_space_group_name_H-M_alt 'P 4/m m m'
_space_group_IT_number 123
_space_group_name_Hall '-P 4 2'
_cell_length_a 5.2871
_cell_length_b 5.2871
_cell_length_c 5.3803
_cell_angle_alpha 90.00
_cell_angle_beta 90.00
_cell_angle_gamma 90.00
loop_
_atom_site_label
_atom_site_fract_x
_atom_site_fract_y
_atom_site_fract_z
Mn1 0.0000 0.0000 0.0000
Te1 0.5000 0.5000 0.0000
Pd1 0.5000 0.5000 0.5000
I1 0.0000 0.5000 0.5000
# Energy relative to the elements, uncorrected = 0.21 eV/atom

---

Entry 11:
# MnSb2PtI SCAN PBEsol geometry
data_MnSb2PtI
_chemical_formula_sum 'Mn1 Sb2 Pt1 I1'
_space_group_name_H-M_alt 'P 4/m m m'
_space_group_IT_number 123
_space_group_name_Hall '-P 4 2'
_cell_length_a 4.8525
_cell_length_b 4.8525
_cell_length_c 4.9807
_cell_angle_alpha 90.00
_cell_angle_beta 90.00
_cell_angle_gamma 90.00
loop_
_atom_site_label
_atom_site_fract_x
_atom_site_fract_y
_atom_site_fract_z
Mn1 0.0000 0.0000 0.0000
Sb1 0.0000 0.5000 0.0000
Pt1 0.5000 0.5000 0.5000
I1 0.0000 0.0000 0.5000
# Energy relative to the elements, uncorrected = 0.83 eV/atom
# Polymorph energy (0 for the lowest one) = 0.329 eV per atom

---

Entry 12:
# MnSb2PtI SCAN PBEsol geometry
data_MnSb2PtI
_chemical_formula_sum 'Mn1 Sb2 Pt1 I1'
_space_group_name_H-M_alt 'P 4/m m m'
_space_group_IT_number 123
_space_group_name_Hall '-P 4 2'
_cell_length_a 5.1752
_cell_length_b 5.1752
_cell_length_c 5.4650
_cell_angle_alpha 90.00
_cell_angle_beta 90.00
_cell_angle_gamma 90.00
loop_
_atom_site_label
_atom_site_fract_x
_atom_site_fract_y
_atom_site_fract_z
Mn1 0.0000 0.0000 0.0000
Sb1 0.0000 0.5000 0.5000
Pt1 0.5000 0.5000 0.5000
I1 0.5000 0.5000 0.0000
# Energy relative to the elements, uncorrected = 0.50 eV/atom
# Polymorph energy (0 for the lowest one) = 0.000 eV per atom